A plane-wave DFT calculation with PBE+U was carried out for a relaxed structure of RhW3F.

Density in g/cm³: 14.60
DFT total energy in eV per atom: -4.932
Volume in Å³/f.u.: 76.6
D(E_F) in states/eV/f.u.: 4.85

a b c (Å): 4.2465 4.2465 4.2465
angles (deg): 90.00 90.00 90.00
Atoms (fractional coordinates):
W (0.0000, 0.5000, 0.0000)
Rh (0.5000, 0.5000, 0.5000)
W (0.5000, 0.0000, 0.0000)
F (0.0000, 0.0000, 0.0000)
W (0.0000, 0.0000, 0.5000)